Below is a PBEsol-optimized structure of ScIrPb, with properties calculated at the SCAN level.

```
ScIrPb
1.0
-1.515 -2.752 0.460
2.364 -0.988 1.875
-3.177 4.168 3.515
Pb Sc Ir
1 1 1
Direct
0.653 0.653 0.306 Pb
0.360 0.360 0.720 Sc
0.987 0.987 0.974 Ir
```

* M_tot: 0.000 μB per cell
* density of states at the Fermi level: 0.36 states/eV per atom
* calculated formation energy: -0.429 eV/atom



Below is a PBEsol-optimized structure of IrPbSe2, with properties calculated at the SCAN level.

```
IrPbSe2
1.0
-2.540 -2.843 2.848
0.824 -2.191 -4.143
4.150 1.023 2.092
Ir Se Pb
1 2 1
Direct
0.000 0.000 0.000 Ir
0.500 0.000 0.500 Se
0.000 0.500 0.500 Se
0.500 0.500 0.000 Pb
```

* M_tot: 0.000 μB per cell
* density of states at the Fermi level: 0.62 states/eV per atom
* formation energy (no corrections): 0.354 eV per atom



Below is a PBEsol-optimized structure of Ir2PbSe, with properties calculated at the SCAN level.

```
Ir2PbSe
1.0
3.946 0.000 0.000
0.000 3.942 0.040
0.000 -0.064 5.782
Pb Se Ir
1 1 2
Direct
0.000 0.626 0.438 Pb
0.500 0.125 0.864 Se
0.000 0.125 0.099 Ir
0.500 0.625 0.099 Ir
```

* M_tot: 0.000 μB per cell
* density of states at the Fermi level: 0.36 states/eV per atom
* formation energy (no corrections): 0.086 eV per atom